No. 1
# RbSbBr2Cl (PBE-GGA, optimized geometry)
# * formation energy from raw total energies: -0.984 eV per atom
# * offset from the most stable computed form: 0.00 kJ per mole of atoms
# * space group: P4/mmm
data_RbSbBr2Cl
_chemical_formula_sum 'Rb1 Sb1 Br2 Cl1'
_cell_length_a 5.813
_cell_length_b 5.813
_cell_length_c 5.533
_cell_angle_alpha 90.00
_cell_angle_beta 90.00
_cell_angle_gamma 90.00
_symmetry_space_group_name_H-M 'P 1'
_symmetry_Int_Tables_number 1
_symmetry_space_group_name_Hall 'P 1'
loop_
_atom_site_label
_atom_site_type_symbol
_atom_site_fract_x
_atom_site_fract_y
_atom_site_fract_z
Br1 Br 0.500 0.000 0.000
Cl1 Cl 0.000 0.000 0.500
Sb1 Sb 0.000 0.000 0.000
Br2 Br 0.000 0.500 0.000
Rb1 Rb 0.500 0.500 0.500

---

No. 2
# PaTl2I4Br2 (PBE-GGA, optimized geometry)
# * formation energy from raw total energies: -0.967 eV per atom
# * space group: C2/m
data_PaTl2I4Br2
_chemical_formula_sum 'Pa1 Tl2 I4 Br2'
_cell_length_a 8.268
_cell_length_b 8.418
_cell_length_c 8.418
_cell_angle_alpha 60.58
_cell_angle_beta 59.23
_cell_angle_gamma 59.23
_symmetry_space_group_name_H-M 'P 1'
_symmetry_Int_Tables_number 1
_symmetry_space_group_name_Hall 'P 1'
loop_
_atom_site_label
_atom_site_type_symbol
_atom_site_fract_x
_atom_site_fract_y
_atom_site_fract_z
Tl1 Tl 0.275 0.762 0.762
Tl2 Tl 0.725 0.238 0.238
Pa1 Pa 0.500 0.000 0.000
I1 I 0.689 0.312 0.807
I2 I 0.311 0.688 0.193
Br1 Br 0.159 0.225 0.225
I3 I 0.311 0.193 0.688
Br2 Br 0.841 0.775 0.775
I4 I 0.689 0.807 0.312

---

No. 3
# LiTa2Pb (PBE-GGA, optimized geometry)
# * space group: Cm
# * VASP energy: -27.6 eV per cell
data_LiTa2Pb
_chemical_formula_sum 'Li1 Ta2 Pb1'
_cell_length_a 5.041
_cell_length_b 5.041
_cell_length_c 5.479
_cell_angle_alpha 82.47
_cell_angle_beta 82.47
_cell_angle_gamma 34.53
_symmetry_space_group_name_H-M 'P 1'
_symmetry_Int_Tables_number 1
_symmetry_space_group_name_Hall 'P 1'
loop_
_atom_site_label
_atom_site_type_symbol
_atom_site_fract_x
_atom_site_fract_y
_atom_site_fract_z
Pb1 Pb 0.254 0.254 0.277
Ta1 Ta 0.740 0.740 0.777
Ta2 Ta 0.005 0.005 0.963
Li1 Li 0.501 0.501 0.483

---

No. 4
# NaGa6Ag4 (PBE-GGA, optimized geometry)
# * space group: I-42m
# * VASP energy: -30.3 eV per cell
data_NaGa6Ag4
_chemical_formula_sum 'Na1 Ga6 Ag4'
_cell_length_a 6.935
_cell_length_b 6.935
_cell_length_c 6.935
_cell_angle_alpha 87.15
_cell_angle_beta 121.66
_cell_angle_gamma 121.66
_symmetry_space_group_name_H-M 'P 1'
_symmetry_Int_Tables_number 1
_symmetry_space_group_name_Hall 'P 1'
loop_
_atom_site_label
_atom_site_type_symbol
_atom_site_fract_x
_atom_site_fract_y
_atom_site_fract_z
Ag1 Ag 0.000 0.568 0.239
Ag2 Ag 0.000 0.239 0.568
Na1 Na 0.000 0.000 0.000
Ga1 Ga 0.500 0.000 0.500
Ga2 Ga 0.000 0.896 0.461
Ag3 Ag 0.330 0.761 0.761
Ga3 Ga 0.435 0.539 0.539
Ag4 Ag 0.670 0.432 0.432
Ga4 Ga 0.565 0.104 0.104
Ga5 Ga 0.000 0.461 0.896
Ga6 Ga 0.500 0.500 0.000

---

No. 5
# TaCI (PBE-GGA, optimized geometry)
# * formation energy from raw total energies: -0.191 eV per atom
# * space group: P1
data_TaCI
_chemical_formula_sum 'Ta2 C2 I2'
_cell_length_a 3.853
_cell_length_b 3.888
_cell_length_c 10.754
_cell_angle_alpha 90.74
_cell_angle_beta 98.46
_cell_angle_gamma 106.42
_symmetry_space_group_name_H-M 'P 1'
_symmetry_Int_Tables_number 1
_symmetry_space_group_name_Hall 'P 1'
loop_
_atom_site_label
_atom_site_type_symbol
_atom_site_fract_x
_atom_site_fract_y
_atom_site_fract_z
I1 I 0.260 0.311 0.105
Ta1 Ta 0.093 0.749 0.511
C1 C 0.583 0.880 0.428
C2 C 0.918 0.205 0.436
Ta2 Ta 0.415 0.333 0.354
I2 I 0.653 0.685 0.718

---

No. 6
# EuPuZnSb (PBE-GGA, optimized geometry)
# * formation energy from raw total energies: -0.395 eV per atom
# * space group: F-43m
data_EuPuZnSb
_chemical_formula_sum 'Eu1 Pu1 Zn1 Sb1'
_cell_length_a 5.343
_cell_length_b 5.343
_cell_length_c 5.343
_cell_angle_alpha 60.00
_cell_angle_beta 60.00
_cell_angle_gamma 60.00
_symmetry_space_group_name_H-M 'P 1'
_symmetry_Int_Tables_number 1
_symmetry_space_group_name_Hall 'P 1'
loop_
_atom_site_label
_atom_site_type_symbol
_atom_site_fract_x
_atom_site_fract_y
_atom_site_fract_z
Eu1 Eu 0.750 0.750 0.750
Sb1 Sb 0.500 0.500 0.500
Pu1 Pu 0.250 0.250 0.250
Zn1 Zn 0.000 0.000 0.000